Record 1
Compound: ErPuAs2
Source: the Alexandria database
Functional: PBE-GGA
Structure: relaxed

Properties
- symmetry = R3m (160)
- total energy (eV/atom) = -8.167
- excess energy over the best structure of this formula in the dataset (meV per atom) = 150
- total magnetic moment (μB per formula unit) = 4.990

a b c (Å): 7.300 7.300 7.300
angles (deg): 32.55 32.55 32.55
Element x y z (fractional)
Er 0.000 0.000 0.000
Pu 0.828 0.828 0.828
As 0.246 0.246 0.246
As 0.415 0.415 0.415


Record 2
Compound: KOsPb2
Source: the Alexandria database
Functional: PBE-GGA
Structure: relaxed

Properties
- symmetry = Cm (8)
- total energy (eV/atom) = -4.418
- excess energy over the best structure of this formula in the dataset (meV per atom) = 153
- total magnetic moment (μB per formula unit) = 0.000

a b c (Å): 5.126 5.126 8.023
angles (deg): 108.95 108.95 39.81
Element x y z (fractional)
K 0.000 0.000 0.000
Os 0.329 0.329 0.607
Pb 0.625 0.625 0.657
Pb 0.818 0.818 0.342


Record 3
Compound: Ni5Pt6
Source: the Alexandria database
Functional: PBE-GGA
Structure: relaxed

Properties
- symmetry = C2/m (12)
- total energy (eV/atom) = -5.896
- excess energy over the best structure of this formula in the dataset (meV per atom) = 86
- total magnetic moment (μB per formula unit) = 5.693

a b c (Å): 6.211 6.211 4.502
angles (deg): 103.51 103.51 104.94
Element x y z (fractional)
Ni 0.000 0.000 0.000
Ni 0.131 0.869 0.500
Ni 0.271 0.729 0.000
Ni 0.729 0.271 0.000
Ni 0.869 0.131 0.500
Pt 0.157 0.450 0.350
Pt 0.304 0.304 0.853
Pt 0.450 0.157 0.350
Pt 0.550 0.843 0.650
Pt 0.696 0.696 0.147
Pt 0.843 0.550 0.650


Record 4
Compound: NdMgZn2Au5
Source: the Alexandria database
Functional: PBE-GGA
Structure: relaxed

Properties
- symmetry = P4/mmm (123)
- total energy (eV/atom) = -3.161
- total magnetic moment (μB per formula unit) = 0.000

a b c (Å): 4.868 4.868 7.783
angles (deg): 90.00 90.00 90.00
Element x y z (fractional)
Nd 0.000 0.000 0.000
Mg 0.000 0.000 0.500
Zn 0.500 0.500 0.345
Zn 0.500 0.500 0.655
Au 0.000 0.500 0.255
Au 0.000 0.500 0.745
Au 0.500 0.000 0.255
Au 0.500 0.000 0.745
Au 0.500 0.500 0.000


Record 5
Compound: VNiB
Source: the Alexandria database
Functional: PBE-GGA
Structure: relaxed

Properties
- symmetry = R3 (146)
- total energy (eV/atom) = -7.322
- total magnetic moment (μB per formula unit) = 0.000

a b c (Å): 5.056 5.056 5.056
angles (deg): 61.55 61.55 61.55
Element x y z (fractional)
V 0.008 0.313 0.680
V 0.313 0.680 0.008
V 0.680 0.008 0.313
Ni 0.120 0.818 0.557
Ni 0.557 0.120 0.818
Ni 0.818 0.557 0.120
B 0.130 0.130 0.130
B 0.432 0.432 0.432
B 0.573 0.573 0.573


Record 6
Compound: TcSnH5
Source: the Alexandria database
Functional: PBE-GGA
Structure: relaxed

Properties
- symmetry = Imm2 (44)
- total energy (eV/atom) = -4.136
- total magnetic moment (μB per formula unit) = 0.000

a b c (Å): 4.444 4.444 4.444
angles (deg): 100.60 100.48 129.36
Element x y z (fractional)
Tc 0.000 0.000 0.000
Sn 0.749 0.249 0.500
H 0.122 0.845 0.277
H 0.155 0.433 0.278
H 0.155 0.877 0.722
H 0.502 0.502 0.000
H 0.568 0.845 0.723


Which value of total magnetic moment does entry 6 give? 0.000 μB per formula unit


Number 4 is which compound? NdMgZn2Au5